Entry from Alexandria: crystalline Rb3U2Se6 at its relaxed geometry (PBE).

Values from the calculation:
symmetry	I4/mmm, No. 139
DOS at the Fermi energy	11.2	states/eV per cell
raw formation energy	-1.120	eV per atom
V	38.0	A^3/atom
density	4787	kg/m3
electronic total energy	-5.34	eV/atom

Lattice parameters (Å, degrees): 14.614 14.614 14.614 158.51 158.51 30.57
Element x y z (fractional)
Rb 0.000 0.000 0.000
Rb 0.183 0.183 0.000
Rb 0.817 0.817 0.000
U 0.400 0.400 0.000
U 0.600 0.600 0.000
Se 0.083 0.583 0.500
Se 0.308 0.308 0.000
Se 0.417 0.917 0.500
Se 0.583 0.083 0.500
Se 0.692 0.692 0.000
Se 0.917 0.417 0.500



Entry from Alexandria: crystalline Rb4USe5 at its relaxed geometry (PBE).

Values from the calculation:
symmetry	I4, No. 79
raw formation energy	-1.148	eV per atom
V	38.7	A^3/atom
density	4185	kg/m3
electronic total energy	-4.41	eV/atom

Lattice parameters (Å, degrees): 8.266 8.266 8.266 99.80 99.80 131.26
Element x y z (fractional)
Rb 0.098 0.701 0.799
Rb 0.299 0.098 0.397
Rb 0.701 0.902 0.603
Rb 0.902 0.299 0.201
U 0.467 0.467 0.000
Se 0.079 0.079 0.000
Se 0.264 0.425 0.685
Se 0.425 0.740 0.161
Se 0.579 0.264 0.839
Se 0.740 0.579 0.315



Entry from Alexandria: crystalline Rb2USe6 at its relaxed geometry (PBE).

Values from the calculation:
symmetry	P-1, No. 2
DOS at the Fermi energy	5.8	states/eV per cell
raw formation energy	-0.788	eV per atom
V	31.3	A^3/atom
density	5200	kg/m3
electronic total energy	-4.58	eV/atom

Lattice parameters (Å, degrees): 4.060 7.737 9.953 67.25 78.82 89.99
Element x y z (fractional)
Rb 0.213 0.181 0.134
Rb 0.787 0.819 0.866
U 0.000 0.500 0.500
Se 0.139 0.669 0.176
Se 0.393 0.658 0.638
Se 0.398 0.202 0.629
Se 0.602 0.798 0.371
Se 0.607 0.342 0.362
Se 0.861 0.331 0.824